# 1
This record from the Alexandria database describes a relaxed structure of Ca2AgSbRh. The functional is PBE-GGA.

Geometry as POSCAR:
```
Ca2AgSbRh
1.0
5.885 0.000 0.000
0.000 5.885 0.000
0.000 0.000 4.840
Ca Ag Sb Rh
2 1 1 1
Direct
0.000 0.500 0.000
0.500 0.000 0.000
0.000 0.000 0.500
0.500 0.500 0.000
0.500 0.500 0.500
```

Summary:
For the size of the total moment, the calculation gives 0.00 Bohr magnetons per cell. As for the space group: P4/mmm, No. 123. The formation energy (no corrections) is 0.045 eV per atom.

# 2
This record from the Alexandria database describes a relaxed structure of Pm2Al2In. The functional is PBE-GGA.

Geometry as POSCAR:
```
Pm2Al2In
1.0
2.265 -7.407 0.000
2.265 7.407 0.000
0.000 0.000 3.695
Pm Al In
2 2 1
Direct
0.123 0.877 0.000
0.877 0.123 0.000
0.297 0.703 0.500
0.703 0.297 0.500
0.500 0.500 0.500
```

Summary:
For the energy relative to the lowest polymorph listed for this composition, the calculation gives 0 meV/atom. For the size of the total moment, the calculation gives 0.00 Bohr magnetons per cell. As for the space group: Cmmm, No. 65. The calculation puts the formation energy at -0.486 eV per atom.

# 3
This record from the Alexandria database describes a relaxed structure of Pm3Si3Ni2. The functional is PBE-GGA.

Geometry as POSCAR:
```
Pm3Si3Ni2
1.0
2.115 -5.212 0.000
2.115 5.212 0.000
0.000 0.000 14.226
Pm Si Ni
6 6 4
Direct
0.089 0.911 0.610
0.089 0.911 0.890
0.375 0.625 0.750
0.625 0.375 0.250
0.911 0.089 0.110
0.911 0.089 0.390
0.321 0.679 0.250
0.377 0.623 0.538
0.377 0.623 0.962
0.623 0.377 0.038
0.623 0.377 0.462
0.679 0.321 0.750
0.204 0.796 0.094
0.204 0.796 0.406
0.796 0.204 0.594
0.796 0.204 0.906
```

Summary:
For the size of the total moment, the calculation gives 0.00 Bohr magnetons per cell. As for the space group: Cmcm, No. 63. The formation energy (no corrections) is -0.727 eV per atom.

# 4
This record from the Alexandria database describes a relaxed structure of PmMgCl. The functional is PBE-GGA.

Geometry as POSCAR:
```
PmMgCl
1.0
16.762 0.000 0.000
0.000 1.759 3.053
0.000 -1.759 3.053
Pm Mg Cl
2 2 2
Direct
0.164 0.000 0.000
0.836 0.000 0.000
0.000 0.666 0.666
0.500 0.822 0.822
0.407 0.489 0.489
0.593 0.489 0.489
```

Summary:
For the size of the total moment, the calculation gives 0.00 Bohr magnetons per cell. As for the space group: Amm2, No. 38. The formation energy (no corrections) is -0.614 eV per atom.

# 5
This record from the Alexandria database describes a relaxed structure of In2AsAu. The functional is PBE-GGA.

Geometry as POSCAR:
```
In2AsAu
1.0
3.928 0.000 0.000
0.000 4.318 0.000
0.000 0.000 5.351
In As Au
2 1 1
Direct
0.000 0.000 0.000
0.000 0.500 0.500
0.500 0.000 0.500
0.500 0.500 0.000
```

Summary:
For the energy relative to the lowest polymorph listed for this composition, the calculation gives 155 meV/atom. For the size of the total moment, the calculation gives 0.00 Bohr magnetons per cell. As for the space group: Pmmm, No. 47. The calculation puts the formation energy at 0.049 eV per atom.

# 6
This record from the Alexandria database describes a relaxed structure of Nd6P2PtBr3. The functional is PBE-GGA.

Geometry as POSCAR:
```
Nd6P2PtBr3
1.0
9.575 -2.056 0.000
9.575 2.056 0.000
-2.488 0.000 8.601
Nd P Pt Br
6 2 1 3
Direct
0.010 0.010 0.221
0.322 0.322 0.441
0.338 0.338 0.884
0.662 0.662 0.116
0.678 0.678 0.559
0.990 0.990 0.779
0.167 0.167 0.336
0.833 0.833 0.664
0.500 0.500 0.000
0.167 0.167 0.829
0.500 0.500 0.500
0.833 0.833 0.171
```

Summary:
For the size of the total moment, the calculation gives 0.00 Bohr magnetons per cell. As for the space group: C2/m, No. 12. The formation energy (no corrections) is -1.385 eV per atom.

# 7
This record from the Alexandria database describes a relaxed structure of ZnIn2Ag. The functional is PBE-GGA.

Geometry as POSCAR:
```
ZnIn2Ag
1.0
-2.206 2.206 4.341
2.206 -2.206 4.341
2.206 2.206 -4.341
Zn In Ag
1 2 1
Direct
0.000 0.000 0.000
0.250 0.750 0.500
0.750 0.250 0.500
0.500 0.500 0.000
```

Summary:
For the size of the total moment, the calculation gives 0.00 Bohr magnetons per cell. As for the space group: I4/mmm, No. 139. The calculation puts the formation energy at 0.085 eV per atom.